one:
Below is a relaxed Li2Bi2Sb crystal, with properties calculated at the PBE level.

Lattice parameters (Å, degrees): 8.543 8.543 3.358 90.00 90.00 90.00
Fractional positions:
Li: 0.117 0.383 0.000
Li: 0.383 0.883 0.000
Li: 0.617 0.117 0.000
Li: 0.883 0.617 0.000
Bi: 0.185 0.685 0.500
Bi: 0.315 0.185 0.500
Bi: 0.685 0.815 0.500
Bi: 0.815 0.315 0.500
Sb: 0.000 0.000 0.000
Sb: 0.500 0.500 0.000

Calculated values
Magnetic moment   0.00 μB/atom
DOS(E_F)   0.5480 states/eV per atom

two:
Below is a relaxed Li2Bi2Sb crystal, with properties calculated at the PBE level.

Lattice parameters (Å, degrees): 6.819 6.819 6.819 139.49 139.49 58.63
Fractional positions:
Li: 0.250 0.750 0.500
Li: 0.750 0.250 0.500
Bi: 0.121 0.121 0.000
Bi: 0.879 0.879 0.000
Sb: 0.500 0.500 0.000

Calculated values
Magnetic moment   0.00 μB/atom
DOS(E_F)   0.6902 states/eV per atom

Energy ordering: one at the bottom, the next structure 196 meV/atom above.

one:
Below is a relaxed Li4BiSb2 crystal, with properties calculated at the PBE level.

Lattice parameters (Å, degrees): 6.792 6.792 6.792 133.85 133.85 67.32
Fractional positions:
Li: 0.000 0.500 0.500
Li: 0.250 0.750 0.500
Li: 0.500 0.000 0.500
Li: 0.750 0.250 0.500
Bi: 0.000 0.000 0.000
Sb: 0.372 0.372 0.000
Sb: 0.628 0.628 0.000

Calculated values
Magnetic moment   0.00 μB/atom
DOS(E_F)   0.3142 states/eV per atom

two:
Below is a relaxed Li4BiSb2 crystal, with properties calculated at the PBE level.

Lattice parameters (Å, degrees): 6.397 8.942 6.194 90.00 118.89 90.00
Fractional positions:
Li: 0.000 0.244 0.235
Li: 0.000 0.256 0.735
Li: 0.000 0.744 0.265
Li: 0.000 0.756 0.765
Li: 0.500 0.250 0.006
Li: 0.500 0.250 0.506
Li: 0.500 0.750 0.494
Li: 0.500 0.750 0.994
Bi: 0.000 0.000 0.500
Bi: 0.000 0.500 0.000
Sb: 0.269 0.000 0.134
Sb: 0.269 0.500 0.634
Sb: 0.731 0.000 0.866
Sb: 0.731 0.500 0.366

Calculated values
Magnetic moment   0.00 μB/atom
DOS(E_F)   0.2133 states/eV per atom

Energy ordering: two at the bottom, the next structure 112 meV/atom above.

one:
Below is a relaxed Li6Bi2Sb crystal, with properties calculated at the PBE level.

Lattice parameters (Å, degrees): 6.836 6.836 4.921 110.73 110.73 70.55
Fractional positions:
Li: 0.142 0.535 0.339
Li: 0.186 0.814 0.000
Li: 0.465 0.858 0.661
Li: 0.535 0.142 0.339
Li: 0.814 0.186 0.000
Li: 0.858 0.465 0.661
Bi: 0.332 0.332 0.833
Bi: 0.668 0.668 0.167
Sb: 0.000 0.000 0.500

Calculated values
Magnetic moment   0.00 μB/atom
DOS(E_F)   0.2458 states/eV per atom

two:
Below is a relaxed Li6Bi2Sb crystal, with properties calculated at the PBE level.

Lattice parameters (Å, degrees): 8.038 8.038 3.289 90.00 90.00 120.00
Fractional positions:
Li: 0.000 0.330 0.000
Li: 0.000 0.670 0.000
Li: 0.330 0.000 0.000
Li: 0.330 0.330 0.000
Li: 0.670 0.000 0.000
Li: 0.670 0.670 0.000
Bi: 0.333 0.667 0.500
Bi: 0.667 0.333 0.500
Sb: 0.000 0.000 0.500

Calculated values
Magnetic moment   0.00 μB/atom
DOS(E_F)   0.1737 states/eV per atom

Energy ordering: one at the bottom, the next structure 40 meV/atom above.

one:
Below is a relaxed LiBiSb3 crystal, with properties calculated at the PBE level.

Lattice parameters (Å, degrees): 5.892 5.892 5.892 90.00 90.00 90.00
Fractional positions:
Li: 0.000 0.000 0.000
Bi: 0.500 0.500 0.500
Sb: 0.000 0.500 0.500
Sb: 0.500 0.000 0.500
Sb: 0.500 0.500 0.000

Calculated values
Magnetic moment   0.00 μB/atom
DOS(E_F)   1.4271 states/eV per atom

two:
Below is a relaxed LiBiSb3 crystal, with properties calculated at the PBE level.

Lattice parameters (Å, degrees): 5.110 5.110 5.110 90.00 90.00 90.00
Fractional positions:
Li: 0.000 0.000 0.000
Bi: 0.500 0.500 0.500
Sb: 0.000 0.000 0.500
Sb: 0.000 0.500 0.000
Sb: 0.500 0.000 0.000

Calculated values
Magnetic moment   0.00 μB/atom
DOS(E_F)   0.6099 states/eV per atom

Energy ordering: two at the bottom, the next structure 418 meV/atom above.

one:
Below is a relaxed Li6BiSb2 crystal, with properties calculated at the PBE level.

Lattice parameters (Å, degrees): 7.959 7.959 3.362 90.00 90.00 120.00
Fractional positions:
Li: 0.000 0.376 0.000
Li: 0.000 0.705 0.500
Li: 0.295 0.295 0.500
Li: 0.376 0.000 0.000
Li: 0.624 0.624 0.000
Li: 0.705 0.000 0.500
Bi: 0.000 0.000 0.000
Sb: 0.333 0.667 0.500
Sb: 0.667 0.333 0.500

Calculated values
Magnetic moment   0.00 μB/atom
DOS(E_F)   0.5346 states/eV per atom

two:
Below is a relaxed Li6BiSb2 crystal, with properties calculated at the PBE level.

Lattice parameters (Å, degrees): 7.967 7.967 3.253 90.00 90.00 120.00
Fractional positions:
Li: 0.000 0.337 0.000
Li: 0.000 0.663 0.000
Li: 0.337 0.000 0.000
Li: 0.337 0.337 0.000
Li: 0.663 0.000 0.000
Li: 0.663 0.663 0.000
Bi: 0.000 0.000 0.500
Sb: 0.333 0.667 0.500
Sb: 0.667 0.333 0.500

Calculated values
Magnetic moment   0.00 μB/atom
DOS(E_F)   0.1822 states/eV per atom

Energy ordering: one at the bottom, the next structure 61 meV/atom above.

one:
Below is a relaxed LiBi2Sb2 crystal, with properties calculated at the PBE level.

Lattice parameters (Å, degrees): 6.456 6.456 6.456 124.87 124.87 81.75
Fractional positions:
Li: 0.000 0.000 0.000
Bi: 0.339 0.339 0.000
Bi: 0.661 0.661 0.000
Sb: 0.250 0.750 0.500
Sb: 0.750 0.250 0.500

Calculated values
Magnetic moment   0.00 μB/atom
DOS(E_F)   0.5729 states/eV per atom

two:
Below is a relaxed LiBi2Sb2 crystal, with properties calculated at the PBE level.

Lattice parameters (Å, degrees): 8.574 8.574 8.574 149.29 149.29 43.98
Fractional positions:
Li: 0.000 0.000 0.000
Bi: 0.250 0.750 0.500
Bi: 0.750 0.250 0.500
Sb: 0.411 0.411 0.000
Sb: 0.589 0.589 0.000

Calculated values
Magnetic moment   0.00 μB/atom
DOS(E_F)   0.5790 states/eV per atom

Energy ordering: one at the bottom, the next structure 21 meV/atom above.

one:
Below is a relaxed Li2BiSe crystal, with properties calculated at the PBE level.

Lattice parameters (Å, degrees): 6.198 6.198 6.198 103.81 103.81 121.50
Fractional positions:
Li: 0.064 0.125 0.439
Li: 0.375 0.936 0.061
Li: 0.686 0.625 0.561
Li: 0.875 0.314 0.939
Bi: 0.250 0.750 0.500
Bi: 0.500 0.500 0.000
Se: 0.000 0.000 0.000
Se: 0.750 0.250 0.500

Calculated values
Magnetic moment   0.00 μB/atom
DOS(E_F)   0.3663 states/eV per atom

two:
Below is a relaxed Li2BiSe crystal, with properties calculated at the PBE level.

Lattice parameters (Å, degrees): 9.148 9.148 9.148 22.32 22.32 22.32
Fractional positions:
Li: 0.113 0.113 0.113
Li: 0.887 0.887 0.887
Bi: 0.000 0.000 0.000
Se: 0.500 0.500 0.500

Calculated values
Magnetic moment   0.00 μB/atom
DOS(E_F)   0.5001 states/eV per atom

Energy ordering: one at the bottom, the next structure 17 meV/atom above.

one:
Below is a relaxed Li2SiBi2 crystal, with properties calculated at the PBE level.

Lattice parameters (Å, degrees): 8.436 8.436 3.223 90.00 90.00 90.00
Fractional positions:
Li: 0.116 0.384 0.000
Li: 0.384 0.884 0.000
Li: 0.616 0.116 0.000
Li: 0.884 0.616 0.000
Si: 0.000 0.000 0.500
Si: 0.500 0.500 0.500
Bi: 0.182 0.682 0.500
Bi: 0.318 0.182 0.500
Bi: 0.682 0.818 0.500
Bi: 0.818 0.318 0.500

Calculated values
Magnetic moment   0.00 μB/atom
DOS(E_F)   0.3107 states/eV per atom

two:
Below is a relaxed Li2SiBi2 crystal, with properties calculated at the PBE level.

Lattice parameters (Å, degrees): 8.211 8.211 3.301 90.00 90.00 90.00
Fractional positions:
Li: 0.116 0.384 0.000
Li: 0.384 0.884 0.000
Li: 0.616 0.116 0.000
Li: 0.884 0.616 0.000
Si: 0.000 0.000 0.000
Si: 0.500 0.500 0.000
Bi: 0.186 0.686 0.500
Bi: 0.314 0.186 0.500
Bi: 0.686 0.814 0.500
Bi: 0.814 0.314 0.500

Calculated values
Magnetic moment   0.00 μB/atom
DOS(E_F)   0.4492 states/eV per atom

Energy ordering: one at the bottom, the next structure 60 meV/atom above.

one:
Below is a relaxed Li3SiBi crystal, with properties calculated at the PBE level.

Lattice parameters (Å, degrees): 5.116 5.116 5.116 90.00 90.00 90.00
Fractional positions:
Li: 0.000 0.000 0.500
Li: 0.000 0.500 0.000
Li: 0.500 0.000 0.000
Si: 0.500 0.500 0.500
Bi: 0.000 0.000 0.000

Calculated values
Magnetic moment   0.00 μB/atom
DOS(E_F)   0.4685 states/eV per atom

two:
Below is a relaxed Li3SiBi crystal, with properties calculated at the PBE level.

Lattice parameters (Å, degrees): 4.746 4.746 4.746 90.00 90.00 90.00
Fractional positions:
Li: 0.000 0.000 0.500
Li: 0.000 0.500 0.000
Li: 0.500 0.000 0.000
Si: 0.000 0.000 0.000
Bi: 0.500 0.500 0.500

Calculated values
Magnetic moment   0.00 μB/atom
DOS(E_F)   0.4403 states/eV per atom

Energy ordering: two at the bottom, the next structure 292 meV/atom above.

one:
Below is a relaxed LiSmBi2 crystal, with properties calculated at the PBE level.

Lattice parameters (Å, degrees): 4.542 4.542 10.530 90.00 90.00 90.00
Fractional positions:
Li: 0.250 0.750 0.000
Li: 0.750 0.250 0.000
Sm: 0.250 0.250 0.258
Sm: 0.750 0.750 0.742
Bi: 0.250 0.250 0.833
Bi: 0.250 0.750 0.500
Bi: 0.750 0.250 0.500
Bi: 0.750 0.750 0.167

Calculated values
Magnetic moment   0.00 μB/atom
DOS(E_F)   0.2780 states/eV per atom

two:
Below is a relaxed LiSmBi2 crystal, with properties calculated at the PBE level.

Lattice parameters (Å, degrees): 3.571 3.571 8.704 90.00 90.00 90.00
Fractional positions:
Li: 0.000 0.000 0.000
Sm: 0.000 0.000 0.500
Bi: 0.500 0.500 0.233
Bi: 0.500 0.500 0.767

Calculated values
Magnetic moment   0.03 μB/atom
DOS(E_F)   0.5565 states/eV per atom

Energy ordering: one at the bottom, the next structure 156 meV/atom above.

one:
Below is a relaxed LiSmBi2 crystal, with properties calculated at the PBE level.

Lattice parameters (Å, degrees): 5.444 5.444 5.444 60.00 60.00 60.00
Fractional positions:
Li: 0.000 0.000 0.000
Sm: 0.500 0.500 0.500
Bi: 0.250 0.250 0.250
Bi: 0.750 0.750 0.750

Calculated values
Magnetic moment   0.00 μB/atom
DOS(E_F)   0.9431 states/eV per atom

two:
Below is a relaxed LiSmBi2 crystal, with properties calculated at the PBE level.

Lattice parameters (Å, degrees): 5.062 5.062 4.336 90.00 90.00 90.00
Fractional positions:
Li: 0.000 0.000 0.000
Sm: 0.500 0.500 0.000
Bi: 0.000 0.500 0.500
Bi: 0.500 0.000 0.500

Calculated values
Magnetic moment   0.00 μB/atom
DOS(E_F)   0.4982 states/eV per atom

Energy ordering: two at the bottom, the next structure 97 meV/atom above.

one:
Below is a relaxed Li2SnBi2 crystal, with properties calculated at the PBE level.

Lattice parameters (Å, degrees): 8.837 8.837 3.254 90.00 90.00 90.00
Fractional positions:
Li: 0.123 0.377 0.000
Li: 0.377 0.877 0.000
Li: 0.623 0.123 0.000
Li: 0.877 0.623 0.000
Sn: 0.000 0.000 0.500
Sn: 0.500 0.500 0.500
Bi: 0.172 0.672 0.500
Bi: 0.328 0.172 0.500
Bi: 0.672 0.828 0.500
Bi: 0.828 0.328 0.500

Calculated values
Magnetic moment   0.00 μB/atom
DOS(E_F)   0.2858 states/eV per atom

two:
Below is a relaxed Li2SnBi2 crystal, with properties calculated at the PBE level.

Lattice parameters (Å, degrees): 6.861 6.861 6.861 139.88 139.88 58.04
Fractional positions:
Li: 0.250 0.750 0.500
Li: 0.750 0.250 0.500
Sn: 0.000 0.000 0.000
Bi: 0.377 0.377 0.000
Bi: 0.623 0.623 0.000

Calculated values
Magnetic moment   0.00 μB/atom
DOS(E_F)   0.2540 states/eV per atom

Energy ordering: one at the bottom, the next structure 169 meV/atom above.